Computed, not measured: an optimized crystal structure of MgAlMoO4 at the PBE+U level of DFT.

Properties
Total magnetization, Bohr magnetons per cell: 8.999
Uncorrected energy, eV for the cell shown: -195.07
Crystal system: orthorhombic

Cell lengths 5.7758, 6.1123, 8.6347 Å; angles 90.00, 90.00, 90.00 degrees
Space group Imma (No. 74)
Inequivalent atoms, fractional coordinates:
Mg 0.0000 0.0000 0.0000 [4 per cell]
Al 0.0000 0.2500 0.3801 [4 per cell]
Mo 0.2500 0.2500 0.7500 [4 per cell]
O 0.0000 0.0136 0.2518 [8 per cell]
O 0.2475 0.2500 0.9985 [8 per cell]